Entry 1:
DFT (GGA-PBE) results for a relaxed structure of La2Ga6Co.

Unit cell a=7.035 b=7.035 c=4.305 alpha=90.00 beta=90.00 gamma=121.30
Fractional positions:
La (0.228, 0.772, 0.000)
La (0.772, 0.228, 0.000)
Ga (0.175, 0.419, 0.500)
Ga (0.211, 0.211, 0.000)
Ga (0.419, 0.175, 0.500)
Ga (0.581, 0.825, 0.500)
Ga (0.789, 0.789, 0.000)
Ga (0.825, 0.581, 0.500)
Co (0.000, 0.000, 0.500)

Output
Total magnetic moment: 0.000 μB per formula unit
ΔH_f (0 K): -430 meV/atom
Final energy: -0.31846 Ry per atom

Entry 2:
DFT (GGA-PBE) results for a relaxed structure of SrPrO2.

Unit cell a=3.598 b=3.598 c=6.401 alpha=106.26 beta=106.26 gamma=59.96
Fractional positions:
Sr (0.000, 0.000, 0.000)
Pr (0.500, 0.500, 0.500)
O (0.249, 0.249, 0.746)
O (0.751, 0.751, 0.254)

Output
Total magnetic moment: 0.000 μB per formula unit
Energy relative to the elements, uncorrected: -2.684 eV/atom
Final energy: -0.49822 Ry per atom

Entry 3:
DFT (GGA-PBE) results for a relaxed structure of MoAu2.

Unit cell a=5.621 b=5.621 c=8.358 alpha=90.00 beta=90.00 gamma=120.00
Fractional positions:
Mo (0.333, 0.667, 0.115)
Mo (0.333, 0.667, 0.385)
Mo (0.667, 0.333, 0.615)
Mo (0.667, 0.333, 0.885)
Au (0.000, 0.000, 0.000)
Au (0.000, 0.000, 0.500)
Au (0.175, 0.349, 0.750)
Au (0.175, 0.825, 0.750)
Au (0.349, 0.175, 0.250)
Au (0.651, 0.825, 0.750)
Au (0.825, 0.175, 0.250)
Au (0.825, 0.651, 0.250)

Output
Total magnetic moment: 0.000 μB per formula unit
ΔH_f (0 K): 578 meV/atom
Final energy: -0.38349 Ry per atom

Entry 4:
DFT (GGA-PBE) results for a relaxed structure of Na4TeI2.

Unit cell a=9.307 b=9.307 c=9.307 alpha=143.34 beta=143.34 gamma=52.82
Fractional positions:
Na (0.000, 0.500, 0.500)
Na (0.178, 0.178, 0.000)
Na (0.500, 0.000, 0.500)
Na (0.822, 0.822, 0.000)
Te (0.000, 0.000, 0.000)
I (0.357, 0.357, 0.000)
I (0.643, 0.643, 0.000)

Output
Total magnetic moment: 0.000 μB per formula unit
Energy relative to the elements, uncorrected: -0.995 eV/atom
Final energy: -0.19407 Ry per atom

Entry 5:
DFT (GGA-PBE) results for a relaxed structure of HRhSN2.

Unit cell a=3.833 b=3.833 c=3.069 alpha=90.00 beta=90.00 gamma=90.00
Fractional positions:
H (0.000, 0.000, 0.000)
Rh (0.500, 0.500, 0.500)
S (0.000, 0.000, 0.500)
N (0.000, 0.500, 0.000)
N (0.500, 0.000, 0.000)

Output
Total magnetic moment: 0.237 μB per formula unit
Final energy: -0.32500 Ry per atom

Entry 6:
DFT (GGA-PBE) results for a relaxed structure of EuCuAgPb.

Unit cell a=5.059 b=5.059 c=5.059 alpha=60.00 beta=60.00 gamma=60.00
Fractional positions:
Eu (0.000, 0.000, 0.000)
Cu (0.250, 0.250, 0.250)
Ag (0.750, 0.750, 0.750)
Pb (0.500, 0.500, 0.500)

Output
Total magnetic moment: 6.880 μB per formula unit
ΔH_f (0 K): -158 meV/atom
Final energy: -0.39619 Ry per atom

Entry 7:
DFT (GGA-PBE) results for a relaxed structure of Pr4MgAg2.

Unit cell a=9.018 b=9.018 c=9.018 alpha=34.55 beta=34.55 gamma=34.55
Fractional positions:
Pr (0.114, 0.114, 0.114)
Pr (0.367, 0.367, 0.367)
Pr (0.633, 0.633, 0.633)
Pr (0.886, 0.886, 0.886)
Mg (0.500, 0.500, 0.500)
Ag (0.240, 0.240, 0.240)
Ag (0.760, 0.760, 0.760)

Output
Total magnetic moment: 1.261 μB per formula unit
ΔH_f (0 K): -59 meV/atom
Final energy: -0.28166 Ry per atom

Entry 8:
DFT (GGA-PBE) results for a relaxed structure of Zr12MnSn6.

Unit cell a=7.910 b=7.910 c=7.910 alpha=99.98 beta=99.98 gamma=99.98
Fractional positions:
Zr (0.017, 0.316, 0.057)
Zr (0.057, 0.017, 0.316)
Zr (0.209, 0.409, 0.527)
Zr (0.316, 0.057, 0.017)
Zr (0.409, 0.527, 0.209)
Zr (0.473, 0.791, 0.591)
Zr (0.527, 0.209, 0.409)
Zr (0.591, 0.473, 0.791)
Zr (0.684, 0.943, 0.983)
Zr (0.791, 0.591, 0.473)
Zr (0.943, 0.983, 0.684)
Zr (0.983, 0.684, 0.943)
Mn (0.000, 0.000, 0.000)
Sn (0.113, 0.666, 0.325)
Sn (0.325, 0.113, 0.666)
Sn (0.334, 0.675, 0.887)
Sn (0.666, 0.325, 0.113)
Sn (0.675, 0.887, 0.334)
Sn (0.887, 0.334, 0.675)

Output
Total magnetic moment: 0.000 μB per formula unit
ΔH_f (0 K): -74 meV/atom
Final energy: -0.53064 Ry per atom

Entry 9:
DFT (GGA-PBE) results for a relaxed structure of RbYMo2.

Unit cell a=5.252 b=5.252 c=5.252 alpha=60.00 beta=60.00 gamma=60.00
Fractional positions:
Rb (0.000, 0.000, 0.000)
Y (0.500, 0.500, 0.500)
Mo (0.250, 0.250, 0.250)
Mo (0.750, 0.750, 0.750)

Output
Total magnetic moment: 5.567 μB per formula unit
ΔH_f (0 K): 1837 meV/atom
Final energy: -0.39959 Ry per atom

Entry 10:
DFT (GGA-PBE) results for a relaxed structure of PuTlHg.

Unit cell a=5.601 b=5.601 c=6.427 alpha=90.00 beta=90.00 gamma=120.00
Fractional positions:
Pu (0.333, 0.667, 0.250)
Pu (0.667, 0.333, 0.750)
Tl (0.000, 0.000, 0.250)
Tl (0.000, 0.000, 0.750)
Hg (0.333, 0.667, 0.750)
Hg (0.667, 0.333, 0.250)

Output
Total magnetic moment: 5.846 μB per formula unit
ΔH_f (0 K): 73 meV/atom
Final energy: -0.41110 Ry per atom

Entry 11:
DFT (GGA-PBE) results for a relaxed structure of Li5Si2Au12.

Unit cell a=7.814 b=7.814 c=5.717 alpha=93.58 beta=93.58 gamma=68.41
Fractional positions:
Li (0.000, 0.000, 0.000)
Li (0.238, 0.238, 0.045)
Li (0.317, 0.317, 0.584)
Li (0.683, 0.683, 0.416)
Li (0.762, 0.762, 0.955)
Si (0.253, 0.747, 0.500)
Si (0.747, 0.253, 0.500)
Au (0.056, 0.565, 0.298)
Au (0.105, 0.105, 0.430)
Au (0.163, 0.634, 0.872)
Au (0.366, 0.837, 0.128)
Au (0.435, 0.944, 0.702)
Au (0.455, 0.455, 0.246)
Au (0.545, 0.545, 0.754)
Au (0.565, 0.056, 0.298)
Au (0.634, 0.163, 0.872)
Au (0.837, 0.366, 0.128)
Au (0.895, 0.895, 0.570)
Au (0.944, 0.435, 0.702)

Output
Total magnetic moment: 0.000 μB per formula unit
Energy relative to the elements, uncorrected: -0.308 eV/atom
Final energy: -0.25374 Ry per atom

Entry 12:
DFT (GGA-PBE) results for a relaxed structure of DySi2Ni10.

Unit cell a=8.101 b=6.274 c=6.149 alpha=81.40 beta=49.97 gamma=48.63
Fractional positions:
Dy (0.000, 0.000, 0.000)
Si (0.000, 0.500, 0.000)
Si (0.500, 0.000, 0.500)
Ni (0.000, 0.000, 0.500)
Ni (0.005, 0.349, 0.651)
Ni (0.274, 0.495, 0.505)
Ni (0.349, 0.005, 0.995)
Ni (0.495, 0.274, 0.726)
Ni (0.500, 0.500, 0.000)
Ni (0.505, 0.726, 0.274)
Ni (0.651, 0.995, 0.005)
Ni (0.726, 0.505, 0.495)
Ni (0.995, 0.651, 0.349)

Output
Total magnetic moment: 0.000 μB per formula unit
Energy relative to the elements, uncorrected: -0.354 eV/atom
Final energy: -0.44022 Ry per atom

Entry 13:
DFT (GGA-PBE) results for a relaxed structure of Sr2As4Rh3.

Unit cell a=8.282 b=7.179 c=5.825 alpha=78.35 beta=58.10 gamma=43.54
Fractional positions:
Sr (0.140, 0.140, 0.860)
Sr (0.860, 0.860, 0.140)
As (0.197, 0.522, 0.478)
As (0.478, 0.803, 0.197)
As (0.522, 0.197, 0.803)
As (0.803, 0.478, 0.522)
Rh (0.000, 0.000, 0.500)
Rh (0.500, 0.500, 0.000)
Rh (0.500, 0.500, 0.500)

Output
Total magnetic moment: 0.002 μB per formula unit
ΔH_f (0 K): -719 meV/atom
Final energy: -0.41232 Ry per atom

Entry 14:
DFT (GGA-PBE) results for a relaxed structure of NdAlZn2Cu4.

Unit cell a=8.856 b=8.856 c=8.856 alpha=27.37 beta=27.37 gamma=27.37
Fractional positions:
Nd (0.000, 0.000, 0.000)
Al (0.500, 0.500, 0.500)
Zn (0.240, 0.240, 0.240)
Zn (0.760, 0.760, 0.760)
Cu (0.132, 0.132, 0.132)
Cu (0.405, 0.405, 0.405)
Cu (0.595, 0.595, 0.595)
Cu (0.868, 0.868, 0.868)

Output
Total magnetic moment: 0.000 μB per formula unit
ΔH_f (0 K): -168 meV/atom
Final energy: -0.26445 Ry per atom

Entry 15:
DFT (GGA-PBE) results for a relaxed structure of Li6DyPb4.

Unit cell a=7.843 b=7.843 c=4.539 alpha=90.00 beta=90.00 gamma=120.00
Fractional positions:
Li (0.074, 0.537, 0.000)
Li (0.430, 0.215, 0.500)
Li (0.463, 0.537, 0.000)
Li (0.463, 0.926, 0.000)
Li (0.785, 0.215, 0.500)
Li (0.785, 0.570, 0.500)
Dy (0.000, 0.000, 0.000)
Pb (0.187, 0.374, 0.500)
Pb (0.187, 0.813, 0.500)
Pb (0.626, 0.813, 0.500)
Pb (0.667, 0.333, 0.000)

Output
Total magnetic moment: 0.000 μB per formula unit
ΔH_f (0 K): -224 meV/atom
Final energy: -0.22302 Ry per atom

Entry 16:
DFT (GGA-PBE) results for a relaxed structure of Na2Te6As3.

Unit cell a=7.084 b=7.084 c=8.245 alpha=98.42 beta=98.42 gamma=120.28
Fractional positions:
Na (0.164, 0.836, 0.000)
Na (0.836, 0.164, 0.000)
Te (0.073, 0.406, 0.713)
Te (0.260, 0.260, 0.284)
Te (0.406, 0.073, 0.713)
Te (0.594, 0.927, 0.287)
Te (0.740, 0.740, 0.716)
Te (0.927, 0.594, 0.287)
As (0.000, 0.000, 0.500)
As (0.328, 0.672, 0.500)
As (0.672, 0.328, 0.500)

Output
Total magnetic moment: 0.000 μB per formula unit
Energy relative to the elements, uncorrected: -0.224 eV/atom
Final energy: -0.25324 Ry per atom

Entry 17:
DFT (GGA-PBE) results for a relaxed structure of Pu2N3.

Unit cell a=5.826 b=5.826 c=5.826 alpha=60.68 beta=60.68 gamma=60.68
Fractional positions:
Pu (0.136, 0.136, 0.136)
Pu (0.364, 0.364, 0.364)
Pu (0.636, 0.636, 0.636)
Pu (0.864, 0.864, 0.864)
N (0.030, 0.750, 0.470)
N (0.250, 0.530, 0.970)
N (0.470, 0.030, 0.750)
N (0.530, 0.970, 0.250)
N (0.750, 0.470, 0.030)
N (0.970, 0.250, 0.530)

Output
Total magnetic moment: 7.000 μB per formula unit
Energy relative to the elements, uncorrected: -1.023 eV/atom
Final energy: -0.86370 Ry per atom

Entry 18:
DFT (GGA-PBE) results for a relaxed structure of NaUTe4Pb2.

Unit cell a=7.892 b=4.545 c=7.999 alpha=90.00 beta=108.63 gamma=90.00
Fractional positions:
Na (0.000, 0.000, 0.000)
U (0.500, 0.500, 0.000)
Te (0.255, 0.500, 0.242)
Te (0.261, 0.000, 0.763)
Te (0.739, 0.000, 0.237)
Te (0.745, 0.500, 0.758)
Pb (0.000, 0.500, 0.500)
Pb (0.500, 0.000, 0.500)

Output
Total magnetic moment: 3.001 μB per formula unit
Energy relative to the elements, uncorrected: -0.537 eV/atom
Final energy: -0.33889 Ry per atom

Entry 19:
DFT (GGA-PBE) results for a relaxed structure of Pt2AuSe.

Unit cell a=2.989 b=3.802 c=6.244 alpha=90.00 beta=90.00 gamma=90.00
Fractional positions:
Pt (0.000, 0.000, 0.000)
Pt (0.500, 0.500, 0.248)
Au (0.500, 0.500, 0.754)
Se (0.000, 0.000, 0.414)

Output
Total magnetic moment: 0.000 μB per formula unit
Energy relative to the elements, uncorrected: 0.158 eV/atom
Final energy: -0.33461 Ry per atom

Entry 20:
DFT (GGA-PBE) results for a relaxed structure of MnRe2Mo.

Unit cell a=9.085 b=9.085 c=9.085 alpha=17.28 beta=17.28 gamma=17.28
Fractional positions:
Mn (0.000, 0.000, 0.000)
Re (0.256, 0.256, 0.256)
Re (0.744, 0.744, 0.744)
Mo (0.500, 0.500, 0.500)

Output
Total magnetic moment: 0.702 μB per formula unit
ΔH_f (0 K): 202 meV/atom
Final energy: -0.81015 Ry per atom

Entry 21:
DFT (GGA-PBE) results for a relaxed structure of Ca5Ga.

Unit cell a=3.775 b=3.775 c=15.161 alpha=90.00 beta=90.00 gamma=90.00
Fractional positions:
Ca (0.000, 0.000, 0.000)
Ca (0.000, 0.000, 0.383)
Ca (0.000, 0.000, 0.617)
Ca (0.500, 0.500, 0.190)
Ca (0.500, 0.500, 0.810)
Ga (0.500, 0.500, 0.500)

Output
Total magnetic moment: 0.000 μB per formula unit
ΔH_f (0 K): -148 meV/atom
Final energy: -0.17055 Ry per atom

Entry 22:
DFT (GGA-PBE) results for a relaxed structure of CaAcAgSb.

Unit cell a=5.548 b=5.548 c=5.548 alpha=60.00 beta=60.00 gamma=60.00
Fractional positions:
Ca (0.000, 0.000, 0.000)
Ac (0.500, 0.500, 0.500)
Ag (0.750, 0.750, 0.750)
Sb (0.250, 0.250, 0.250)

Output
Total magnetic moment: 0.000 μB per formula unit
Energy relative to the elements, uncorrected: -0.604 eV/atom
Final energy: -0.28482 Ry per atom

Entry 23:
DFT (GGA-PBE) results for a relaxed structure of Al2HgOs.

Unit cell a=3.315 b=3.554 c=5.573 alpha=90.00 beta=90.00 gamma=90.00
Fractional positions:
Al (0.000, 0.000, 0.000)
Al (0.500, 0.500, 0.278)
Hg (0.000, 0.000, 0.506)
Os (0.500, 0.500, 0.831)

Output
Total magnetic moment: 0.004 μB per formula unit
ΔH_f (0 K): 62 meV/atom
Final energy: -0.34488 Ry per atom

Entry 24:
DFT (GGA-PBE) results for a relaxed structure of HfAg2PPd.

Unit cell a=5.228 b=5.228 c=4.805 alpha=90.00 beta=90.00 gamma=90.00
Fractional positions:
Hf (0.000, 0.000, 0.000)
Ag (0.000, 0.500, 0.000)
Ag (0.500, 0.000, 0.000)
P (0.000, 0.000, 0.500)
Pd (0.500, 0.500, 0.500)

Output
Total magnetic moment: 0.000 μB per formula unit
ΔH_f (0 K): 992 meV/atom
Final energy: -0.31312 Ry per atom

Entry 25:
DFT (GGA-PBE) results for a relaxed structure of Hf2Ti2P3.

Unit cell a=6.237 b=6.237 c=6.106 alpha=103.50 beta=103.50 gamma=33.69
Fractional positions:
Hf (0.119, 0.119, 0.360)
Hf (0.881, 0.881, 0.640)
Ti (0.361, 0.361, 0.139)
Ti (0.639, 0.639, 0.861)
P (0.251, 0.251, 0.753)
P (0.500, 0.500, 0.500)
P (0.749, 0.749, 0.247)

Output
Total magnetic moment: 0.000 μB per formula unit
ΔH_f (0 K): -987 meV/atom
Final energy: -0.61779 Ry per atom